--- P ---
The following is a PBE calculation of crystalline Zr2ZnHg at its relaxed geometry, from the Alexandria database.

Summary:
* magnetization: 3.25 μB per formula unit
* Fermi-level density of states: 3.03 states/eV/f.u.

```
data_Zr2ZnHg
_chemical_formula_sum 'Zr8 Zn4 Hg4'
_symmetry_space_group_name_H-M 'F -4 3 m'
_symmetry_Int_Tables_number 216
_symmetry_space_group_name_Hall 'F -4 2 3'
_cell_length_a 6.9707
_cell_length_b 6.9707
_cell_length_c 6.9707
_cell_angle_alpha 90.00
_cell_angle_beta 90.00
_cell_angle_gamma 90.00
loop_
_atom_site_label
_atom_site_type_symbol
_atom_site_fract_x
_atom_site_fract_y
_atom_site_fract_z
_atom_site_occupancy
Zr1 Zr 0.0000 0.0000 0.0000 1
Zr2 Zr 0.2500 0.2500 0.2500 1
Zn1 Zn 0.2500 0.2500 0.7500 1
Hg1 Hg 0.0000 0.0000 0.5000 1
```

---

--- Q ---
The following is a PBE calculation of crystalline Zr2ZnHg at its relaxed geometry, from the Alexandria database.

Summary:
* magnetization: 0.00 μB per formula unit
* Fermi-level density of states: 3.55 states/eV/f.u.

```
data_Zr2ZnHg
_chemical_formula_sum 'Zr2 Zn1 Hg1'
_symmetry_space_group_name_H-M 'P 4 m m'
_symmetry_Int_Tables_number 99
_symmetry_space_group_name_Hall 'P 4 -2'
_cell_length_a 3.1745
_cell_length_b 3.1745
_cell_length_c 8.2103
_cell_angle_alpha 90.00
_cell_angle_beta 90.00
_cell_angle_gamma 90.00
loop_
_atom_site_label
_atom_site_type_symbol
_atom_site_fract_x
_atom_site_fract_y
_atom_site_fract_z
_atom_site_occupancy
Zr1 Zr 0.0000 0.0000 0.0000 1
Zr2 Zr 0.5000 0.5000 0.2786 1
Zn1 Zn 0.5000 0.5000 0.7659 1
Hg1 Hg 0.0000 0.0000 0.5460 1
```

---

Name the least stable of them. P.

---

--- P ---
The following is a PBE calculation of crystalline ZrZn2Hg2 at its relaxed geometry, from the Alexandria database.

Summary:
* magnetization: 0.00 μB per formula unit
* Fermi-level density of states: 3.44 states/eV/f.u.

```
data_ZrZn2Hg2
_chemical_formula_sum 'Zr2 Zn4 Hg4'
_symmetry_space_group_name_H-M 'P 4/m b m'
_symmetry_Int_Tables_number 127
_symmetry_space_group_name_Hall '-P 4 2ab'
_cell_length_a 7.7757
_cell_length_b 7.7757
_cell_length_c 3.2161
_cell_angle_alpha 90.00
_cell_angle_beta 90.00
_cell_angle_gamma 90.00
loop_
_atom_site_label
_atom_site_type_symbol
_atom_site_fract_x
_atom_site_fract_y
_atom_site_fract_z
_atom_site_occupancy
Zr1 Zr 0.0000 0.0000 0.0000 1
Zn1 Zn 0.1194 0.3806 0.0000 1
Hg1 Hg 0.1806 0.6806 0.5000 1
```

---

--- Q ---
The following is a PBE calculation of crystalline ZrZn2Hg2 at its relaxed geometry, from the Alexandria database.

Summary:
* magnetization: 0.00 μB per formula unit
* Fermi-level density of states: 2.22 states/eV/f.u.

```
data_ZrZn2Hg2
_chemical_formula_sum 'Zr2 Zn4 Hg4'
_symmetry_space_group_name_H-M 'P 4/m b m'
_symmetry_Int_Tables_number 127
_symmetry_space_group_name_Hall '-P 4 2ab'
_cell_length_a 7.8920
_cell_length_b 7.8920
_cell_length_c 3.1953
_cell_angle_alpha 90.00
_cell_angle_beta 90.00
_cell_angle_gamma 90.00
loop_
_atom_site_label
_atom_site_type_symbol
_atom_site_fract_x
_atom_site_fract_y
_atom_site_fract_z
_atom_site_occupancy
Zr1 Zr 0.0000 0.0000 0.0000 1
Zn1 Zn 0.1701 0.3299 0.5000 1
Hg1 Hg 0.1335 0.6335 0.0000 1
```

---

Name the least stable of them. Q.

---

--- P ---
The following is a PBE calculation of crystalline ZrZnHg3 at its relaxed geometry, from the Alexandria database.

Summary:
* magnetization: 0.00 μB per formula unit
* Fermi-level density of states: 5.31 states/eV/f.u.

```
data_ZrZnHg3
_chemical_formula_sum 'Zr1 Zn1 Hg3'
_symmetry_space_group_name_H-M 'P m -3 m'
_symmetry_Int_Tables_number 221
_symmetry_space_group_name_Hall '-P 4 2 3'
_cell_length_a 4.9421
_cell_length_b 4.9421
_cell_length_c 4.9421
_cell_angle_alpha 90.00
_cell_angle_beta 90.00
_cell_angle_gamma 90.00
loop_
_atom_site_label
_atom_site_type_symbol
_atom_site_fract_x
_atom_site_fract_y
_atom_site_fract_z
_atom_site_occupancy
Zr1 Zr 0.0000 0.0000 0.0000 1
Zn1 Zn 0.5000 0.5000 0.5000 1
Hg1 Hg 0.0000 0.5000 0.5000 1
```

---

--- Q ---
The following is a PBE calculation of crystalline ZrZnHg3 at its relaxed geometry, from the Alexandria database.

Summary:
* magnetization: 0.00 μB per formula unit
* Fermi-level density of states: 6.70 states/eV/f.u.

```
data_ZrZnHg3
_chemical_formula_sum 'Zr1 Zn1 Hg3'
_symmetry_space_group_name_H-M 'P m -3 m'
_symmetry_Int_Tables_number 221
_symmetry_space_group_name_Hall '-P 4 2 3'
_cell_length_a 5.6969
_cell_length_b 5.6969
_cell_length_c 5.6969
_cell_angle_alpha 90.00
_cell_angle_beta 90.00
_cell_angle_gamma 90.00
loop_
_atom_site_label
_atom_site_type_symbol
_atom_site_fract_x
_atom_site_fract_y
_atom_site_fract_z
_atom_site_occupancy
Zr1 Zr 0.0000 0.0000 0.0000 1
Zn1 Zn 0.5000 0.5000 0.5000 1
Hg1 Hg 0.0000 0.0000 0.5000 1
```

---

Name the least stable of them. Q.

---

--- P ---
The following is a PBE calculation of crystalline Zr3ZnHg at its relaxed geometry, from the Alexandria database.

Summary:
* magnetization: 0.00 μB per formula unit
* Fermi-level density of states: 2.42 states/eV/f.u.

```
data_Zr3ZnHg
_chemical_formula_sum 'Zr3 Zn1 Hg1'
_symmetry_space_group_name_H-M 'P m -3 m'
_symmetry_Int_Tables_number 221
_symmetry_space_group_name_Hall '-P 4 2 3'
_cell_length_a 4.9671
_cell_length_b 4.9671
_cell_length_c 4.9671
_cell_angle_alpha 90.00
_cell_angle_beta 90.00
_cell_angle_gamma 90.00
loop_
_atom_site_label
_atom_site_type_symbol
_atom_site_fract_x
_atom_site_fract_y
_atom_site_fract_z
_atom_site_occupancy
Zr1 Zr 0.0000 0.0000 0.5000 1
Zn1 Zn 0.0000 0.0000 0.0000 1
Hg1 Hg 0.5000 0.5000 0.5000 1
```

---

--- Q ---
The following is a PBE calculation of crystalline Zr3ZnHg at its relaxed geometry, from the Alexandria database.

Summary:
* magnetization: 0.00 μB per formula unit
* Fermi-level density of states: 5.26 states/eV/f.u.

```
data_Zr3ZnHg
_chemical_formula_sum 'Zr24 Zn8 Hg8'
_symmetry_space_group_name_H-M 'C 1 2/c 1'
_symmetry_Int_Tables_number 15
_symmetry_space_group_name_Hall '-C 2yc'
_cell_length_a 11.7736
_cell_length_b 9.2513
_cell_length_c 8.9875
_cell_angle_alpha 90.00
_cell_angle_beta 119.37
_cell_angle_gamma 90.00
loop_
_atom_site_label
_atom_site_type_symbol
_atom_site_fract_x
_atom_site_fract_y
_atom_site_fract_z
_atom_site_occupancy
Zr1 Zr 0.1261 0.1631 0.0983 1
Zr2 Zr 0.1744 0.4836 0.0829 1
Zr3 Zr 0.1833 0.1602 0.5666 1
Zn1 Zn 0.1125 0.3132 0.7780 1
Hg1 Hg 0.0000 0.0231 0.7500 1
Hg2 Hg 0.0000 0.3645 0.2500 1
```

---

Name the least stable of them. P.

---

--- P ---
The following is a PBE calculation of crystalline Zr2Zn2Hg at its relaxed geometry, from the Alexandria database.

Summary:
* magnetization: 0.00 μB per formula unit
* Fermi-level density of states: 1.49 states/eV/f.u.

```
data_Zr2Zn2Hg
_chemical_formula_sum 'Zr4 Zn4 Hg2'
_symmetry_space_group_name_H-M 'P 4/m b m'
_symmetry_Int_Tables_number 127
_symmetry_space_group_name_Hall '-P 4 2ab'
_cell_length_a 7.9704
_cell_length_b 7.9704
_cell_length_c 3.2827
_cell_angle_alpha 90.00
_cell_angle_beta 90.00
_cell_angle_gamma 90.00
loop_
_atom_site_label
_atom_site_type_symbol
_atom_site_fract_x
_atom_site_fract_y
_atom_site_fract_z
_atom_site_occupancy
Zr1 Zr 0.1480 0.3520 0.0000 1
Zn1 Zn 0.1488 0.6488 0.5000 1
Hg1 Hg 0.0000 0.0000 0.0000 1
```

---

--- Q ---
The following is a PBE calculation of crystalline Zr2Zn2Hg at its relaxed geometry, from the Alexandria database.

Summary:
* magnetization: 0.00 μB per formula unit
* Fermi-level density of states: 1.88 states/eV/f.u.

```
data_Zr2Zn2Hg
_chemical_formula_sum 'Zr4 Zn4 Hg2'
_symmetry_space_group_name_H-M 'P 4/m b m'
_symmetry_Int_Tables_number 127
_symmetry_space_group_name_Hall '-P 4 2ab'
_cell_length_a 6.8474
_cell_length_b 6.8474
_cell_length_c 4.0870
_cell_angle_alpha 90.00
_cell_angle_beta 90.00
_cell_angle_gamma 90.00
loop_
_atom_site_label
_atom_site_type_symbol
_atom_site_fract_x
_atom_site_fract_y
_atom_site_fract_z
_atom_site_occupancy
Zr1 Zr 0.1680 0.3320 0.0000 1
Zn1 Zn 0.1287 0.6287 0.5000 1
Hg1 Hg 0.0000 0.0000 0.5000 1
```

---

Name the least stable of them. P.